Computed, not measured: a relaxed structure of In3Bi2Pb2 at the PBE-GGA level of DFT.

Energy of formation: 1.04 kcal/mol of atoms
Mass density: 8.73 g/cm3
Total magnetic moment: 0.00 Bohr magnetons per cell

Unit cell a=4.6334 b=5.1000 c=10.1884 alpha=106.82 beta=103.14 gamma=90.00
Last column: nearest neighbours and their distance in Å.
Fractional positions:
In  0.0000  0.0000  0.0000  4 Pb 3.21-3.29, 4 Bi 3.28
In  0.2536  0.2433  0.5071  4 In 3.37-3.53, 4 Bi 3.38-3.56, 3 Pb 3.52-3.64
In  0.7464  0.7567  0.4929  4 In 3.37-3.53, 4 Bi 3.38-3.56, 3 Pb 3.52-3.64
Bi  0.3777  0.8631  0.7553  6 In 3.28-3.56, 4 Pb 3.44-3.48
Bi  0.6223  0.1369  0.2447  6 In 3.28-3.56, 4 Pb 3.44-3.48
Pb  0.1063  0.6135  0.2127  4 In 3.21-3.52, 4 Bi 3.44-3.48
Pb  0.8937  0.3865  0.7873  4 In 3.21-3.52, 4 Bi 3.44-3.48